--- w ---
CePt2Rh2: relaxed, GGA-PBE.

The structure in POSCAR format:
```
CePt2Rh2
1.0
3.890 0.000 0.000
0.000 3.890 0.000
-1.945 -1.945 12.361
Ce Pt Rh
2 4 4
Direct
0.632 0.632 0.264
0.368 0.368 0.736
0.750 0.250 0.500
0.927 0.927 0.855
0.073 0.073 0.145
0.250 0.750 0.500
0.000 0.500 0.000
0.174 0.174 0.348
0.500 0.000 0.000
0.826 0.826 0.652
```

Calculated values
For the density, the calculation gives 13.1 g cm⁻³. The value obtained for the magnetic moment is 0.00 μB per cell.


--- x ---
CePt2Rh2: relaxed, GGA-PBE.

The structure in POSCAR format:
```
CePt2Rh2
1.0
4.697 0.000 0.000
-2.348 4.067 0.000
0.000 0.000 10.810
Ce Pt Rh
2 4 4
Direct
0.000 0.000 0.250
0.000 0.000 0.750
0.667 0.333 0.750
0.000 0.000 0.000
0.000 0.000 0.500
0.333 0.667 0.250
0.333 0.667 0.489
0.667 0.333 0.989
0.667 0.333 0.511
0.333 0.667 0.011
```

Calculated values
For the density, the calculation gives 11.8 g cm⁻³. The value obtained for the magnetic moment is 0.75 μB per cell.


w takes first place; second place is 0.157 eV/atom up.


--- w ---
CePtRh3: relaxed, GGA-PBE.

The structure in POSCAR format:
```
CePtRh3
1.0
5.170 0.000 0.000
0.000 7.437 -0.407
0.000 -3.729 6.447
Ce Pt Rh
2 2 6
Direct
0.750 0.644 0.356
0.250 0.356 0.644
0.750 0.826 0.174
0.250 0.174 0.826
0.750 0.659 0.709
0.750 0.291 0.341
0.250 0.709 0.659
0.250 0.341 0.291
0.000 0.000 0.000
0.500 0.000 0.000
```

Calculated values
For the density, the calculation gives 8.9 g cm⁻³. The value obtained for the magnetic moment is 0.61 μB per cell.


--- x ---
CePtRh3: relaxed, GGA-PBE.

The structure in POSCAR format:
```
CePtRh3
1.0
-3.852 0.565 3.448
2.922 -2.129 3.613
4.729 11.509 2.957
Ce Pt Rh
4 4 12
Direct
0.931 0.479 0.255
0.569 0.979 0.245
0.069 0.521 0.745
0.431 0.021 0.755
0.394 0.473 0.141
0.106 0.973 0.359
0.606 0.527 0.859
0.894 0.027 0.641
0.173 0.675 0.535
0.327 0.175 0.965
0.827 0.325 0.465
0.673 0.825 0.035
0.885 0.029 0.858
0.615 0.529 0.642
0.115 0.971 0.142
0.385 0.471 0.358
0.663 0.822 0.463
0.837 0.322 0.037
0.337 0.178 0.537
0.163 0.678 0.963
```

Calculated values
For the density, the calculation gives 12.6 g cm⁻³. The value obtained for the magnetic moment is 0.00 μB per cell.


x takes first place; second place is 0.482 eV/atom up.


--- w ---
CeTmPtRh: relaxed, GGA-PBE.

The structure in POSCAR format:
```
CeTmPtRh
1.0
4.926 0.000 0.000
2.463 4.266 0.000
2.463 1.422 4.022
Tm Rh Ce Pt
1 1 1 1
Direct
0.750 0.750 0.750
0.500 0.500 0.500
0.250 0.250 0.250
0.000 0.000 0.000
```

Calculated values
For the density, the calculation gives 11.9 g cm⁻³. The value obtained for the magnetic moment is 0.67 μB per cell.


--- x ---
CeTmPtRh: relaxed, GGA-PBE.

The structure in POSCAR format:
```
CeTmPtRh
1.0
-3.091 -1.687 1.353
0.460 -3.094 -2.807
4.638 -1.948 2.907
Ce Tm Pt Rh
1 1 1 1
Direct
0.864 0.500 0.729
0.141 0.000 0.282
0.590 0.500 0.181
0.404 0.000 0.808
```

Calculated values
For the density, the calculation gives 11.6 g cm⁻³. The value obtained for the magnetic moment is 0.15 μB per cell.


x takes first place; second place is 0.114 eV/atom up.


--- w ---
CeZnPtRh: relaxed, GGA-PBE.

The structure in POSCAR format:
```
CeZnPtRh
1.0
3.903 0.000 0.000
-1.952 5.006 -0.833
0.000 -0.891 3.800
Ce Zn Pt Rh
1 1 1 1
Direct
0.041 0.081 0.850
0.791 0.581 0.100
0.291 0.581 0.600
0.541 0.081 0.350
```

Calculated values
For the density, the calculation gives 11.7 g cm⁻³. The value obtained for the magnetic moment is 0.19 μB per cell.


--- x ---
CeZnPtRh: relaxed, GGA-PBE.

The structure in POSCAR format:
```
CeZnPtRh
1.0
4.698 0.000 0.000
2.349 4.068 0.000
2.349 1.356 3.836
Zn Rh Ce Pt
1 1 1 1
Direct
0.500 0.500 0.500
0.250 0.250 0.250
0.000 0.000 0.000
0.750 0.750 0.750
```

Calculated values
For the density, the calculation gives 11.4 g cm⁻³. The value obtained for the magnetic moment is 0.00 μB per cell.


w takes first place; second place is 0.050 eV/atom up.


--- w ---
Ce3RuPt: relaxed, GGA-PBE.

The structure in POSCAR format:
```
Ce3RuPt
1.0
-3.045 2.819 1.999
4.975 -4.266 2.983
3.359 8.873 -2.090
Ce Ru Pt
6 2 2
Direct
0.485 0.707 0.944
0.270 0.235 0.430
0.748 0.322 0.648
0.252 0.678 0.352
0.515 0.293 0.056
0.730 0.765 0.570
0.898 0.739 0.182
0.102 0.261 0.818
0.756 0.119 0.226
0.244 0.881 0.774
```

Calculated values
For the density, the calculation gives 10.4 g cm⁻³. The value obtained for the magnetic moment is 0.01 μB per cell.


--- x ---
Ce3RuPt: relaxed, GGA-PBE.

The structure in POSCAR format:
```
Ce3RuPt
1.0
-3.362 -2.829 -1.107
1.810 -5.455 -0.842
0.131 -3.720 9.105
Ce Ru Pt
6 2 2
Direct
0.256 0.877 0.584
0.524 0.341 0.366
0.560 0.271 0.799
0.292 0.806 0.018
0.844 0.701 0.315
0.972 0.446 0.069
0.633 0.125 0.073
0.183 0.023 0.311
0.983 0.423 0.597
0.833 0.725 0.786
```

Calculated values
For the density, the calculation gives 10.3 g cm⁻³. The value obtained for the magnetic moment is 1.12 μB per cell.


w takes first place; second place is 0.008 eV/atom up.


--- w ---
Ce6Ru2Pt: relaxed, GGA-PBE.

The structure in POSCAR format:
```
Ce6Ru2Pt
1.0
4.803 0.000 0.000
-2.402 5.086 -0.475
0.000 -0.585 8.534
Ce Ru Pt
6 2 1
Direct
0.050 0.100 0.849
0.612 0.223 0.178
0.388 0.777 0.822
0.683 0.366 0.589
0.317 0.634 0.411
0.950 0.900 0.151
0.726 0.452 0.877
0.274 0.548 0.123
0.000 0.000 0.500
```

Calculated values
For the density, the calculation gives 9.9 g cm⁻³. The value obtained for the magnetic moment is 0.02 μB per cell.


--- x ---
Ce6Ru2Pt: relaxed, GGA-PBE.

The structure in POSCAR format:
```
Ce6Ru2Pt
1.0
6.514 0.000 0.195
0.000 7.131 0.000
-0.529 0.000 9.829
Ce Ru Pt
12 4 2
Direct
0.817 0.927 0.237
0.823 0.644 0.557
0.849 0.694 0.923
0.651 0.194 0.577
0.677 0.144 0.943
0.683 0.427 0.263
0.183 0.073 0.763
0.177 0.356 0.443
0.151 0.306 0.077
0.349 0.806 0.423
0.323 0.856 0.057
0.317 0.573 0.737
0.965 0.380 0.776
0.535 0.880 0.724
0.465 0.120 0.276
0.035 0.620 0.224
0.500 0.500 0.000
0.000 0.000 0.500
```

Calculated values
For the density, the calculation gives 9.0 g cm⁻³. The value obtained for the magnetic moment is 3.81 μB per cell.


w takes first place; second place is 0.120 eV/atom up.